[1]
Entry from Alexandria: an optimized crystal structure of MnCr2Ru (PBE).

a b c (Å): 6.503 6.503 4.895
angles (deg): 90.00 90.00 90.00
Element x y z (fractional)
Mn (0.000, 0.000, 0.000)
Mn (0.000, 0.500, 0.250)
Mn (0.500, 0.000, 0.750)
Mn (0.500, 0.500, 0.500)
Cr (0.232, 0.250, 0.125)
Cr (0.250, 0.732, 0.375)
Cr (0.250, 0.768, 0.875)
Cr (0.268, 0.250, 0.625)
Cr (0.732, 0.750, 0.625)
Cr (0.750, 0.232, 0.875)
Cr (0.750, 0.268, 0.375)
Cr (0.768, 0.750, 0.125)
Ru (0.000, 0.000, 0.500)
Ru (0.000, 0.500, 0.750)
Ru (0.500, 0.000, 0.250)
Ru (0.500, 0.500, 0.000)

Summary:
**ΔE_f**: 0.705 eV per atom
**Energy above the most stable polymorph in this dataset**: 640 meV/atom

[2]
Entry from Alexandria: an optimized crystal structure of NaHoPb2S4 (PBE).

a b c (Å): 7.075 4.095 7.168
angles (deg): 90.00 108.39 90.00
Element x y z (fractional)
Na (0.000, 0.000, 0.000)
Ho (0.500, 0.500, 0.000)
Pb (0.000, 0.500, 0.500)
Pb (0.500, 0.000, 0.500)
S (0.259, 0.500, 0.233)
S (0.268, 0.000, 0.775)
S (0.732, 0.000, 0.225)
S (0.741, 0.500, 0.767)

Summary:
**Energy relative to the elements, uncorrected**: -1.13 eV/atom

[3]
Entry from Alexandria: an optimized crystal structure of Nb2VGa2 (PBE).

a b c (Å): 5.252 2.784 11.531
angles (deg): 90.00 96.59 90.00
Element x y z (fractional)
Nb (0.087, 0.250, 0.222)
Nb (0.398, 0.250, 0.622)
Nb (0.602, 0.750, 0.378)
Nb (0.913, 0.750, 0.778)
V (0.200, 0.250, 0.995)
V (0.800, 0.750, 0.005)
Ga (0.130, 0.750, 0.430)
Ga (0.428, 0.750, 0.834)
Ga (0.572, 0.250, 0.166)
Ga (0.870, 0.250, 0.570)

Summary:
**ΔE_f**: -0.045 eV per atom
**Energy above the most stable polymorph in this dataset**: 231 meV/atom

[4]
Entry from Alexandria: an optimized crystal structure of DyTl2OsO8 (PBE).

a b c (Å): 5.088 6.707 5.099
angles (deg): 90.00 91.20 90.00
Element x y z (fractional)
Dy (0.000, 0.000, 0.000)
Tl (0.500, 0.251, 0.500)
Tl (0.500, 0.749, 0.500)
Os (0.000, 0.500, 0.000)
O (0.178, 0.290, 0.825)
O (0.178, 0.710, 0.825)
O (0.267, 0.500, 0.270)
O (0.302, 0.000, 0.305)
O (0.698, 0.000, 0.695)
O (0.733, 0.500, 0.730)
O (0.822, 0.290, 0.175)
O (0.822, 0.710, 0.175)

Summary:
**Energy relative to the elements, uncorrected**: -1.28 eV/atom

[5]
Entry from Alexandria: an optimized crystal structure of PuThN (PBE).

a b c (Å): 3.539 3.539 6.118
angles (deg): 90.00 90.00 120.00
Element x y z (fractional)
Pu (0.000, 0.000, 0.000)
Th (0.667, 0.333, 0.539)
N (0.333, 0.667, 0.786)

Summary:
**Energy relative to the elements, uncorrected**: -0.72 eV/atom
**Energy above the most stable polymorph in this dataset**: 51 meV/atom

[6]
Entry from Alexandria: an optimized crystal structure of Pm3IrSeCl (PBE).

a b c (Å): 8.356 4.165 10.087
angles (deg): 90.00 94.34 90.00
Element x y z (fractional)
Pm (0.139, 0.250, 0.325)
Pm (0.156, 0.250, 0.894)
Pm (0.324, 0.750, 0.616)
Pm (0.676, 0.250, 0.384)
Pm (0.844, 0.750, 0.106)
Pm (0.861, 0.750, 0.675)
Ir (0.080, 0.250, 0.614)
Ir (0.920, 0.750, 0.386)
Se (0.407, 0.750, 0.334)
Se (0.593, 0.250, 0.666)
Cl (0.373, 0.750, 0.908)
Cl (0.627, 0.250, 0.092)

Summary:
**Energy relative to the elements, uncorrected**: -1.24 eV/atom

[7]
Entry from Alexandria: an optimized crystal structure of SiTcPt3 (PBE).

a b c (Å): 4.524 4.524 4.524
angles (deg): 90.00 90.00 90.00
Element x y z (fractional)
Si (0.000, 0.000, 0.000)
Tc (0.500, 0.500, 0.500)
Pt (0.000, 0.000, 0.500)
Pt (0.000, 0.500, 0.000)
Pt (0.500, 0.000, 0.000)

Summary:
**Energy relative to the elements, uncorrected**: 0.55 eV/atom
**Energy above the most stable polymorph in this dataset**: 0 meV/atom

[8]
Entry from Alexandria: an optimized crystal structure of Ce6In3Sb (PBE).

a b c (Å): 5.977 8.879 12.133
angles (deg): 90.00 119.12 90.00
Element x y z (fractional)
Ce (0.018, 0.142, 0.048)
Ce (0.018, 0.358, 0.548)
Ce (0.429, 0.145, 0.449)
Ce (0.429, 0.355, 0.949)
Ce (0.478, 0.601, 0.253)
Ce (0.478, 0.899, 0.753)
Ce (0.522, 0.101, 0.247)
Ce (0.522, 0.399, 0.747)
Ce (0.571, 0.645, 0.051)
Ce (0.571, 0.855, 0.551)
Ce (0.982, 0.642, 0.452)
Ce (0.982, 0.858, 0.952)
In (0.000, 0.000, 0.500)
In (0.000, 0.500, 0.000)
In (0.061, 0.628, 0.752)
In (0.061, 0.872, 0.252)
In (0.939, 0.128, 0.748)
In (0.939, 0.372, 0.248)
Sb (0.500, 0.000, 0.000)
Sb (0.500, 0.500, 0.500)

Summary:
**Energy relative to the elements, uncorrected**: -0.28 eV/atom

[9]
Entry from Alexandria: an optimized crystal structure of PmPr2Pd (PBE).

a b c (Å): 7.281 10.229 6.633
angles (deg): 90.00 90.00 90.00
Element x y z (fractional)
Pm (0.026, 0.250, 0.145)
Pm (0.474, 0.750, 0.645)
Pm (0.526, 0.250, 0.355)
Pm (0.974, 0.750, 0.855)
Pr (0.181, 0.061, 0.668)
Pr (0.181, 0.439, 0.668)
Pr (0.319, 0.561, 0.168)
Pr (0.319, 0.939, 0.168)
Pr (0.681, 0.061, 0.832)
Pr (0.681, 0.439, 0.832)
Pr (0.819, 0.561, 0.332)
Pr (0.819, 0.939, 0.332)
Pd (0.117, 0.750, 0.432)
Pd (0.383, 0.250, 0.932)
Pd (0.617, 0.750, 0.068)
Pd (0.883, 0.250, 0.568)

Summary:
**ΔE_f**: -0.398 eV per atom
**Energy above the most stable polymorph in this dataset**: 0 meV/atom

[10]
Entry from Alexandria: an optimized crystal structure of Zr3Sc2Ga4 (PBE).

a b c (Å): 8.136 8.136 8.171
angles (deg): 90.00 90.00 135.33
Element x y z (fractional)
Zr (0.000, 0.000, 0.000)
Zr (0.048, 0.452, 0.250)
Zr (0.452, 0.048, 0.750)
Zr (0.500, 0.500, 0.500)
Zr (0.548, 0.952, 0.250)
Zr (0.952, 0.548, 0.750)
Sc (0.117, 0.883, 0.408)
Sc (0.383, 0.617, 0.908)
Sc (0.617, 0.383, 0.092)
Sc (0.883, 0.117, 0.592)
Ga (0.184, 0.816, 0.057)
Ga (0.229, 0.271, 0.250)
Ga (0.271, 0.229, 0.750)
Ga (0.316, 0.684, 0.557)
Ga (0.684, 0.316, 0.443)
Ga (0.729, 0.771, 0.250)
Ga (0.771, 0.729, 0.750)
Ga (0.816, 0.184, 0.943)

Summary:
**ΔE_f**: -0.333 eV per atom

[11]
Entry from Alexandria: an optimized crystal structure of PCBr2 (PBE).

a b c (Å): 6.616 6.616 6.616
angles (deg): 90.00 90.00 90.00
Element x y z (fractional)
P (0.000, 0.000, 0.000)
P (0.000, 0.500, 0.500)
P (0.500, 0.000, 0.500)
P (0.500, 0.500, 0.000)
C (0.000, 0.000, 0.500)
C (0.000, 0.500, 0.000)
C (0.500, 0.000, 0.000)
C (0.500, 0.500, 0.500)
Br (0.250, 0.250, 0.250)
Br (0.250, 0.250, 0.750)
Br (0.250, 0.750, 0.250)
Br (0.250, 0.750, 0.750)
Br (0.750, 0.250, 0.250)
Br (0.750, 0.250, 0.750)
Br (0.750, 0.750, 0.250)
Br (0.750, 0.750, 0.750)

Summary:
**Energy relative to the elements, uncorrected**: 2.10 eV/atom
**Energy above the most stable polymorph in this dataset**: 370 meV/atom

[12]
Entry from Alexandria: an optimized crystal structure of KRePt (PBE).

a b c (Å): 4.199 4.199 5.560
angles (deg): 90.00 90.00 120.00
Element x y z (fractional)
K (0.000, 0.000, 0.000)
Re (0.333, 0.667, 0.500)
Pt (0.667, 0.333, 0.500)

Summary:
**ΔE_f**: 0.844 eV per atom
**Energy above the most stable polymorph in this dataset**: 616 meV/atom

| no. | electronic total energy (eV per atom) |
| --- | --- |
| 1 | -8.7178 |
| 2 | -4.8616 |
| 3 | -7.1072 |
| 4 | -6.3039 |
| 5 | -10.7480 |
| 6 | -5.9849 |
| 7 | -6.2337 |
| 8 | -5.0746 |
| 9 | -5.2740 |
| 10 | -5.9347 |
| 11 | -2.3929 |
| 12 | -5.6846 |